# 1
Density functional theory data (PBE-GGA) for crystalline CrAgPS2 at its relaxed geometry.

Calculated values
Crystal system   tetragonal
Formation energy (no corrections)   36.8 kJ/mol of atoms
Calculated density   4.619 Mg/m³

abc: 4.4908 4.4908 4.5447
angles: 90.00 90.00 90.00
Sites, in units of the cell vectors:
Cr: 0.0000 0.0000 0.0000
S: 0.0000 0.5000 0.0000
S: 0.5000 0.0000 0.0000
Ag: 0.5000 0.5000 0.5000
P: 0.0000 0.0000 0.5000

---

# 2
Density functional theory data (PBE-GGA) for crystalline ZnInAuCl at its relaxed geometry.

Calculated values
Crystal system   monoclinic
Formation energy (no corrections)   -26.0 kJ/mol of atoms
Calculated density   7.710 Mg/m³

abc: 3.5242 4.5511 5.5410
angles: 90.00 90.18 90.00
Sites, in units of the cell vectors:
Zn: 0.5000 0.0000 0.5000
Cl: 0.0000 0.5000 0.5000
Au: 0.5000 0.0000 0.0000
In: 0.0000 0.5000 0.0000

---

# 3
Density functional theory data (PBE-GGA) for crystalline Hf2Ti7Pb3 at its relaxed geometry.

Calculated values
Crystal system   monoclinic
Calculated density   8.909 Mg/m³
Calculated formation energy   0.21 eV per atom

abc: 3.0339 4.9324 16.9422
angles: 105.03 90.00 90.00
Sites, in units of the cell vectors:
Hf: 0.5000 0.5655 0.2823
Hf: 0.5000 0.4345 0.7177
Ti: 0.5000 0.0437 0.8331
Ti: 0.5000 0.9563 0.1669
Ti: 0.5000 0.7087 0.4569
Ti: 0.5000 0.2913 0.5431
Ti: 0.0000 0.0000 0.0000
Ti: 0.0000 0.5982 0.8608
Ti: 0.0000 0.4018 0.1392
Pb: 0.0000 0.8564 0.6235
Pb: 0.0000 0.1436 0.3765
Pb: 0.5000 0.5000 0.0000

---

# 4
Density functional theory data (PBE-GGA) for crystalline Pr8Ru3CBr4 at its relaxed geometry.

Calculated values
Crystal system   monoclinic
Formation energy (no corrections)   -74.5 kJ/mol of atoms
Calculated density   6.480 Mg/m³

abc: 8.1624 9.1331 8.1571
angles: 116.44 120.02 90.00
Sites, in units of the cell vectors:
Pr: 0.2202 0.6839 0.9636
Pr: 0.2201 0.6836 0.4403
Pr: 0.2638 0.2910 0.5276
Pr: 0.7435 0.6839 0.9636
Pr: 0.2565 0.3161 0.0364
Pr: 0.7362 0.7090 0.4724
Pr: 0.7799 0.3164 0.5597
Pr: 0.7798 0.3161 0.0364
Ru: 0.5000 0.5000 0.0000
Ru: 0.5000 0.5000 0.5000
Ru: 0.0000 0.5000 0.5000
C: 0.0000 0.5000 0.0000
Br: 0.5000 0.0000 0.0000
Br: 0.5000 0.0000 0.5000
Br: 0.0000 0.0000 0.0000
Br: 0.0000 0.0000 0.5000

---

# 5
Density functional theory data (PBE-GGA) for crystalline In5Ag at its relaxed geometry.

Calculated values
Crystal system   orthorhombic
Calculated density   7.532 Mg/m³
Calculated formation energy   0.03 eV per atom

abc: 7.3040 7.3040 4.6668
angles: 90.00 90.00 142.85
Sites, in units of the cell vectors:
Ag: 0.9722 0.0278 0.0000
In: 0.8105 0.1895 0.5000
In: 0.6330 0.3670 0.0000
In: 0.4723 0.5277 0.5000
In: 0.3114 0.6886 0.0000
In: 0.1340 0.8660 0.5000

---

# 6
Density functional theory data (PBE-GGA) for crystalline PmPr2Pb9 at its relaxed geometry.

Calculated values
Crystal system   tetragonal
Calculated density   10.544 Mg/m³
Calculated formation energy   -0.38 eV per atom

abc: 4.9371 4.9371 14.8061
angles: 90.00 90.00 90.00
Sites, in units of the cell vectors:
Pm: 0.0000 0.0000 0.0000
Pr: 0.0000 0.0000 0.3326
Pr: 0.0000 0.0000 0.6674
Pb: 0.5000 0.5000 0.0000
Pb: 0.5000 0.5000 0.3325
Pb: 0.5000 0.5000 0.6675
Pb: 0.5000 0.0000 0.1650
Pb: 0.5000 0.0000 0.5000
Pb: 0.5000 0.0000 0.8350
Pb: 0.0000 0.5000 0.1650
Pb: 0.0000 0.5000 0.5000
Pb: 0.0000 0.5000 0.8350

---

# 7
Density functional theory data (PBE-GGA) for crystalline Ce2ErRh9 at its relaxed geometry.

Calculated values
Crystal system   trigonal
Calculated density   10.812 Mg/m³
Calculated formation energy   -0.56 eV per atom

abc: 5.2432 5.2432 9.3636
angles: 73.74 73.74 60.00
Sites, in units of the cell vectors:
Ce: 0.8615 0.8615 0.4156
Ce: 0.1385 0.1385 0.5844
Er: 0.0000 0.0000 0.0000
Rh: 0.6670 0.6670 0.9989
Rh: 0.3330 0.3330 0.0011
Rh: 0.5000 0.5000 0.5000
Rh: 0.4164 0.4164 0.2478
Rh: 0.9194 0.4164 0.2478
Rh: 0.4164 0.9194 0.2478
Rh: 0.5836 0.5836 0.7522
Rh: 0.5836 0.0806 0.7522
Rh: 0.0806 0.5836 0.7522

---

# 8
Density functional theory data (PBE-GGA) for crystalline NaCaPmSn at its relaxed geometry.

Calculated values
Crystal system   cubic
Calculated density   4.657 Mg/m³
Calculated formation energy   -0.34 eV per atom

abc: 5.4825 5.4825 5.4825
angles: 60.00 60.00 60.00
Sites, in units of the cell vectors:
Na: 0.7500 0.7500 0.7500
Ca: 0.5000 0.5000 0.5000
Sn: 0.2500 0.2500 0.2500
Pm: 0.0000 0.0000 0.0000

---

# 9
Density functional theory data (PBE-GGA) for crystalline Mg2AgAs at its relaxed geometry.

Calculated values
Crystal system   tetragonal
Calculated density   3.281 Mg/m³
Calculated formation energy   0.02 eV per atom

abc: 5.9428 5.9428 7.8522
angles: 67.76 67.76 90.00
Sites, in units of the cell vectors:
As: 0.5000 0.5000 0.0000
As: 0.2500 0.7500 0.5000
Mg: 0.5849 0.1250 0.2500
Mg: 0.1651 0.6250 0.2500
Mg: 0.3750 0.4151 0.7500
Mg: 0.8750 0.8349 0.7500
Ag: 0.0000 0.0000 0.0000
Ag: 0.7500 0.2500 0.5000

---

# 10
Density functional theory data (PBE-GGA) for crystalline Pt6Rh8W at its relaxed geometry.

Calculated values
Crystal system   trigonal
Calculated density   14.944 Mg/m³
Calculated formation energy   0.17 eV per atom

abc: 5.2726 7.2795 7.2795
angles: 120.00 90.00 90.00
Sites, in units of the cell vectors:
Pt: 0.5739 0.6276 0.9857
Pt: 0.5739 0.0143 0.6420
Pt: 0.5739 0.3580 0.3724
Pt: 0.3771 0.2922 0.0103
Pt: 0.3771 0.9897 0.2819
Pt: 0.3771 0.7181 0.7078
Rh: 0.8742 0.9378 0.3294
Rh: 0.8742 0.6706 0.6083
Rh: 0.8742 0.3917 0.0622
Rh: 0.0692 0.0364 0.7202
Rh: 0.0692 0.2798 0.3162
Rh: 0.0692 0.6838 0.9636
Rh: 0.8482 0.3333 0.6667
Rh: 0.2242 0.6667 0.3333
W: 0.7443 0.0000 0.0000

---

# 11
Density functional theory data (PBE-GGA) for crystalline CaScTa2 at its relaxed geometry.

Calculated values
Crystal system   tetragonal
Calculated density   8.021 Mg/m³
Calculated formation energy   0.42 eV per atom

abc: 3.0369 3.0369 10.0328
angles: 90.00 90.00 90.00
Sites, in units of the cell vectors:
Sc: 0.5000 0.5000 0.7945
Ca: 0.0000 0.0000 0.4844
Ta: 0.0000 0.0000 0.0076
Ta: 0.5000 0.5000 0.2134

---

# 12
Density functional theory data (PBE-GGA) for crystalline LaSm5Cd3 at its relaxed geometry.

Calculated values
Crystal system   hexagonal
Calculated density   7.486 Mg/m³
Calculated formation energy   -0.16 eV per atom

abc: 7.1084 9.4076 9.4071
angles: 120.00 90.00 90.00
Sites, in units of the cell vectors:
La: 0.0000 0.0000 0.0000
La: 0.5000 0.0000 0.0000
Sm: 0.0000 0.6667 0.3334
Sm: 0.5000 0.3333 0.6666
Sm: 0.0000 0.3333 0.6666
Sm: 0.5000 0.6667 0.3334
Sm: 0.7500 0.6679 0.6679
Sm: 0.7500 0.0000 0.3321
Sm: 0.7500 0.3321 0.0000
Sm: 0.2500 0.3321 0.3321
Sm: 0.2500 0.0000 0.6679
Sm: 0.2500 0.6679 0.0000
Cd: 0.7500 0.3388 0.3388
Cd: 0.7500 0.0000 0.6612
Cd: 0.7500 0.6612 0.0000
Cd: 0.2500 0.6612 0.6612
Cd: 0.2500 0.0000 0.3388
Cd: 0.2500 0.3388 0.0000

---

no.,DFT total energy (eV/atom)
1,-4.847
2,-2.554
3,-6.979
4,-5.896
5,-2.725
6,-4.351
7,-7.441
8,-3.361
9,-2.657
10,-7.028
11,-7.593
12,-3.637